(1)
DFT (GGA-PBEsol) results for a geometry-optimized NaReSbTe2 structure.

Cell: 5.424 5.424 5.071 Å, 90.00 90.00 90.00°
Space group P4/mmm (No. 123)
Symmetry-distinct sites (fractional):
Na1 0.000 0.000 0.000 (multiplicity 1)
Re1 0.500 0.500 0.500 (multiplicity 1)
Sb1 0.500 0.500 0.000 (multiplicity 1)
Te1 0.000 0.500 0.500 (multiplicity 2)

Output
- total moment (μB per formula unit) = 1.073
- formation energy without anion corrections (eV/atom) = 0.439
- crystal system = tetragonal

(2)
DFT (GGA-PBEsol) results for a geometry-optimized Na2Re3Se6 structure.

Cell: 16.502 9.918 11.925 Å, 90.00 92.18 90.00°
Space group C2/c (No. 15)
Symmetry-distinct sites (fractional):
Na1 0.000 0.073 0.250 (multiplicity 4)
Na2 0.000 0.284 0.750 (multiplicity 4)
Na3 0.116 0.282 0.006 (multiplicity 8)
Re1 0.158 0.350 0.467 (multiplicity 8)
Re2 0.204 0.185 0.631 (multiplicity 8)
Re3 0.205 0.105 0.419 (multiplicity 8)
Se1 0.029 0.477 0.410 (multiplicity 8)
Se2 0.073 0.147 0.517 (multiplicity 8)
Se3 0.137 0.100 0.812 (multiplicity 8)
Se4 0.161 0.269 0.267 (multiplicity 8)
Se5 0.161 0.423 0.669 (multiplicity 8)
Se6 0.250 0.048 0.078 (multiplicity 8)

Output
- total moment (μB per formula unit) = 0.000
- formation energy without anion corrections (eV/atom) = -0.601
- crystal system = monoclinic

(3)
DFT (GGA-PBEsol) results for a geometry-optimized Na2ReSe structure.

Cell: 9.550 9.550 4.643 Å, 90.00 90.00 90.00°
Space group I-42d (No. 122)
Symmetry-distinct sites (fractional):
Na1 0.142 0.250 0.125 (multiplicity 8)
Re1 0.000 0.000 0.500 (multiplicity 4)
Se1 0.000 0.000 0.000 (multiplicity 4)

Output
- total moment (μB per formula unit) = 1.484
- formation energy without anion corrections (eV/atom) = 0.724
- crystal system = tetragonal

(4)
DFT (GGA-PBEsol) results for a geometry-optimized Na3ReSi structure.

Cell: 5.523 5.523 5.523 Å, 90.00 90.00 90.00°
Space group Pm-3m (No. 221)
Symmetry-distinct sites (fractional):
Na1 0.000 0.000 0.500 (multiplicity 3)
Re1 0.000 0.000 0.000 (multiplicity 1)
Si1 0.500 0.500 0.500 (multiplicity 1)

Output
- total moment (μB per formula unit) = 3.099
- formation energy without anion corrections (eV/atom) = 1.992
- crystal system = cubic

(5)
DFT (GGA-PBEsol) results for a geometry-optimized Na2ReSi structure.

Cell: 7.968 7.968 4.825 Å, 90.00 90.00 90.00°
Space group I-42d (No. 122)
Symmetry-distinct sites (fractional):
Na1 0.230 0.750 0.125 (multiplicity 8)
Re1 0.000 0.000 0.500 (multiplicity 4)
Si1 0.000 0.000 0.000 (multiplicity 4)

Output
- total moment (μB per formula unit) = 0.753
- formation energy without anion corrections (eV/atom) = 1.113
- crystal system = tetragonal

(6)
DFT (GGA-PBEsol) results for a geometry-optimized NaReSn2 structure.

Cell: 6.690 6.690 6.690 Å, 90.00 90.00 90.00°
Space group Fm-3m (No. 225)
Symmetry-distinct sites (fractional):
Na1 0.000 0.000 0.000 (multiplicity 4)
Re1 0.000 0.000 0.500 (multiplicity 4)
Sn1 0.250 0.250 0.250 (multiplicity 8)

Output
- E (eV/atom) = -5.401
- total moment (μB per formula unit) = 0.000
- crystal system = cubic

(7)
DFT (GGA-PBEsol) results for a geometry-optimized NaSr3Re structure.

Cell: 5.858 5.858 5.858 Å, 90.00 90.00 90.00°
Space group Pm-3m (No. 221)
Symmetry-distinct sites (fractional):
Na1 0.000 0.000 0.000 (multiplicity 1)
Sr1 0.000 0.500 0.500 (multiplicity 3)
Re1 0.500 0.500 0.500 (multiplicity 1)

Output
- E (eV/atom) = -3.345
- total moment (μB per formula unit) = 0.701
- crystal system = cubic

(8)
DFT (GGA-PBEsol) results for a geometry-optimized NaReTe2 structure.

Cell: 6.779 6.779 6.779 Å, 90.00 90.00 90.00°
Space group Fm-3m (No. 225)
Symmetry-distinct sites (fractional):
Na1 0.000 0.000 0.000 (multiplicity 4)
Re1 0.000 0.000 0.500 (multiplicity 4)
Te1 0.250 0.250 0.250 (multiplicity 8)

Output
- total moment (μB per formula unit) = 0.000
- formation energy without anion corrections (eV/atom) = 0.242
- E above lowest polymorph (meV per atom) = 0.0
- crystal system = cubic

> What is the total moment in the sixth record?

0.000 μB per formula unit